# LaCr3F PBE+U relaxed
# Energy relative to the lowest polymorph listed for this composition   0 meV per atom
# VASP energy   -5.84 eV per atom
data_LaCr3F
_chemical_formula_sum 'La1 Cr3 F1'
_symmetry_space_group_name_H-M 'P m -3 m'
_symmetry_Int_Tables_number 221
_symmetry_space_group_name_Hall '-P 4 2 3'
_cell_length_a 4.780
_cell_length_b 4.780
_cell_length_c 4.780
_cell_angle_alpha 90.00
_cell_angle_beta 90.00
_cell_angle_gamma 90.00
loop_
_atom_site_label
_atom_site_type_symbol
_atom_site_fract_x
_atom_site_fract_y
_atom_site_fract_z
La1 La 0.000 0.000 0.000
Cr1 Cr 0.000 0.500 0.500
F1 F 0.500 0.500 0.500